No. 1
The following is a GGA-PBE calculation of a geometry-optimized TbZrSb structure, from the Alexandria database.

Output
formation energy from raw total energies	-0.2646	eV per atom

Cell lengths 4.956, 4.956, 3.772 Å; angles 90.00, 90.00, 120.00 degrees
Positions (direct):
Tb 0.000 0.000 0.000
Zr 0.333 0.667 0.508
Sb 0.667 0.333 0.438

***

No. 2
The following is a GGA-PBE calculation of a geometry-optimized TiNb3V structure, from the Alexandria database.

Output
formation enthalpy at 0 K	0.03	eV/atom

Cell lengths 2.829, 4.524, 13.387 Å; angles 89.94, 87.11, 89.80 degrees
Positions (direct):
Ti 0.238 0.248 0.242
Ti 0.762 0.752 0.758
Nb 0.153 0.751 0.552
Nb 0.343 0.750 0.949
Nb 0.421 0.252 0.660
Nb 0.579 0.748 0.340
Nb 0.657 0.250 0.051
Nb 0.847 0.249 0.448
V 0.080 0.249 0.853
V 0.920 0.751 0.147

***

No. 3
The following is a GGA-PBE calculation of a geometry-optimized YCoSi2Rh structure, from the Alexandria database.

Output
formation energy from raw total energies	-0.9587	eV per atom

Cell lengths 5.705, 5.705, 5.705 Å; angles 139.25, 139.25, 59.00 degrees
Positions (direct):
Y 0.000 0.000 0.000
Co 0.750 0.250 0.500
Si 0.376 0.376 0.000
Si 0.624 0.624 0.000
Rh 0.250 0.750 0.500

***

No. 4
The following is a GGA-PBE calculation of a geometry-optimized LaZrNO2 structure, from the Alexandria database.

Output
formation energy from raw total energies	-2.7200	eV per atom

Cell lengths 5.841, 8.510, 5.794 Å; angles 90.00, 90.00, 90.00 degrees
Positions (direct):
La 0.034 0.250 0.013
La 0.466 0.750 0.513
La 0.534 0.250 0.487
La 0.966 0.750 0.987
Zr 0.000 0.000 0.500
Zr 0.000 0.500 0.500
Zr 0.500 0.000 0.000
Zr 0.500 0.500 0.000
N 0.030 0.750 0.579
N 0.470 0.250 0.079
N 0.530 0.750 0.921
N 0.970 0.250 0.421
O 0.181 0.535 0.181
O 0.181 0.965 0.181
O 0.319 0.035 0.681
O 0.319 0.465 0.681
O 0.681 0.535 0.319
O 0.681 0.965 0.319
O 0.819 0.035 0.819
O 0.819 0.465 0.819

***

No. 5
The following is a GGA-PBE calculation of a geometry-optimized Pu2PaFeC4 structure, from the Alexandria database.

Output
formation enthalpy at 0 K	0.02	eV/atom

Cell lengths 5.866, 5.866, 11.654 Å; angles 90.00, 90.00, 146.11 degrees
Positions (direct):
Pu 0.136 0.864 0.548
Pu 0.136 0.864 0.952
Pu 0.864 0.136 0.048
Pu 0.864 0.136 0.452
Pa 0.399 0.601 0.750
Pa 0.601 0.399 0.250
Fe 0.343 0.657 0.250
Fe 0.657 0.343 0.750
C 0.064 0.936 0.750
C 0.228 0.772 0.136
C 0.228 0.772 0.364
C 0.500 0.500 0.000
C 0.500 0.500 0.500
C 0.772 0.228 0.636
C 0.772 0.228 0.864
C 0.936 0.064 0.250

***

No. 6
The following is a GGA-PBE calculation of a geometry-optimized Ba2Pd2Au structure, from the Alexandria database.

Output
formation enthalpy at 0 K	-0.58	eV/atom

Cell lengths 6.345, 6.345, 12.052 Å; angles 114.25, 114.25, 43.41 degrees
Positions (direct):
Ba 0.092 0.092 0.394
Ba 0.306 0.306 0.862
Ba 0.694 0.694 0.138
Ba 0.908 0.908 0.606
Pd 0.039 0.039 0.911
Pd 0.382 0.382 0.396
Pd 0.618 0.618 0.604
Pd 0.961 0.961 0.089
Au 0.421 0.421 0.184
Au 0.579 0.579 0.816

***

No. 7
The following is a GGA-PBE calculation of a geometry-optimized TbPmHg3 structure, from the Alexandria database.

Output
formation enthalpy at 0 K	-0.42	eV/atom

Cell lengths 14.755, 14.755, 4.968 Å; angles 90.00, 90.00, 166.01 degrees
Positions (direct):
Tb 0.211 0.789 0.750
Tb 0.789 0.211 0.250
Pm 0.076 0.924 0.250
Pm 0.924 0.076 0.750
Hg 0.318 0.682 0.750
Hg 0.378 0.622 0.250
Hg 0.476 0.524 0.250
Hg 0.524 0.476 0.750
Hg 0.622 0.378 0.750
Hg 0.682 0.318 0.250

***

No. 8
The following is a GGA-PBE calculation of a geometry-optimized Na2Ca2PuO6 structure, from the Alexandria database.

Output
formation energy from raw total energies	-2.5215	eV per atom

Cell lengths 5.751, 5.751, 5.952 Å; angles 104.43, 104.43, 111.64 degrees
Positions (direct):
Na 0.150 0.850 0.000
Na 0.850 0.150 0.000
Ca 0.313 0.687 0.500
Ca 0.687 0.313 0.500
Pu 0.500 0.500 0.000
O 0.141 0.461 0.754
O 0.312 0.312 0.205
O 0.461 0.141 0.754
O 0.539 0.859 0.246
O 0.688 0.688 0.795
O 0.859 0.539 0.246